A plane-wave DFT calculation with GGA+U was carried out for a geometry-optimized KCo3C4O12 structure.

Geometry as CIF:
```
data_KCo3C4O12
_chemical_formula_sum 'K3 Co9 C12 O36'
_cell_length_a 9.6296
_cell_length_b 9.6296
_cell_length_c 8.2475
_cell_angle_alpha 90.00
_cell_angle_beta 90.00
_cell_angle_gamma 120.00
_symmetry_space_group_name_H-M 'R 3 2'
_symmetry_Int_Tables_number 155
_symmetry_space_group_name_Hall 'R 3 2"'
loop_
_atom_site_label
_atom_site_type_symbol
_atom_site_fract_x
_atom_site_fract_y
_atom_site_fract_z
K1 K 0.0000 0.0000 0.0000
Co1 Co 0.0000 0.5422 0.0000
C1 C 0.0000 0.0000 0.5000
C2 C 0.0000 0.4558 0.5000
O1 O 0.0000 0.5928 0.5000
O2 O 0.0000 0.8652 0.5000
O3 O 0.0043 0.2071 0.2057
```

Final energy: -138.8 eV per formula unit
N(E_F): 22.53 states/eV per cell